First-principles (PBE-GGA) data for crystalline YHfZnAg at its relaxed geometry, as listed in Alexandria via LeMat-Bulk. Values from VASP.

The density is 8.6 Mg/m³. As for the density of states at the Fermi level: 4.38 states/eV/cell. As for the space group: F-43m. The energy of formation comes out at -0.099 eV per atom. As for the calculated volume: 84.94 Å³/f.u. The calculation puts the spin magnetization at 0.909 μB/cell.

Geometry as Quantum ESPRESSO input:
```
&SYSTEM
  ibrav = 0, nat = 4, ntyp = 4
/
ATOMIC_SPECIES
Ag 107.87 Ag.upf
Zn 65.41 Zn.upf
Hf 178.49 Hf.upf
Y 88.91 Y.upf
CELL_PARAMETERS angstrom
4.9341 0.0000 0.0000
2.4671 4.2731 0.0000
2.4671 1.4244 4.0287
ATOMIC_POSITIONS crystal
Ag 0.2500 0.2500 0.2500
Zn 0.7500 0.7500 0.7500
Hf 0.0000 0.0000 0.0000
Y 0.5000 0.5000 0.5000
```